## TiV2SO (GGA+U)

Data for a relaxed structure of TiV2SO.

Uncorrected energy in eV/atom: -5.144
Spin magnetization in μB/atom: 1.177

Lattice parameters (Å, degrees): 5.0398 4.3634 5.0398 90.00 90.00 90.00
Site moments in Bohr magnetons follow the coordinates.
Element x y z (fractional)
Ti (0.0000, 0.0000, 0.0000)  -0.17
V (0.5000, 0.0000, 0.0000)  3.01
V (0.0000, 0.0000, 0.5000)  2.66
O (0.5000, 0.5000, 0.5000)  -0.39
S (0.0000, 0.5000, 0.0000)  0.06